Entry 1:
The following is a PBE-GGA calculation of a geometry-optimized Pr2NpIr structure, from Alexandria via LeMat-Bulk.

Structure (POSCAR):
```
Pr2NpIr
1.0
1.880 1.085 10.667
-1.880 1.085 10.667
0.000 -2.170 10.667
Pr Np Ir
2 1 1
Direct
0.110 0.110 0.110 Pr
0.890 0.890 0.890 Pr
0.000 0.000 0.000 Np
0.500 0.500 0.500 Ir
```

Properties
ΔE_f = 368 meV per atom

Entry 2:
The following is a PBE-GGA calculation of a geometry-optimized Pr2NpIr3 structure, from Alexandria via LeMat-Bulk.

Structure (POSCAR):
```
Pr2NpIr3
1.0
-2.118 2.900 5.938
2.118 -2.900 5.938
2.118 2.900 -5.938
Pr Np Ir
2 1 3
Direct
0.171 0.171 0.000 Pr
0.829 0.829 0.000 Pr
0.500 0.500 0.000 Np
0.000 0.500 0.500 Ir
0.363 0.863 0.500 Ir
0.637 0.137 0.500 Ir
```

Properties
ΔE_f = -323 meV per atom

Entry 3:
The following is a PBE-GGA calculation of a geometry-optimized Pr3NpIr8 structure, from Alexandria via LeMat-Bulk.

Structure (POSCAR):
```
Pr3NpIr8
1.0
2.717 1.569 8.860
-2.717 1.569 8.860
0.000 -3.138 8.860
Pr Np Ir
3 1 8
Direct
0.000 0.000 0.000 Pr
0.125 0.125 0.125 Pr
0.500 0.500 0.500 Pr
0.624 0.624 0.624 Np
0.057 0.562 0.562 Ir
0.063 0.063 0.567 Ir
0.063 0.567 0.063 Ir
0.312 0.312 0.312 Ir
0.562 0.057 0.562 Ir
0.562 0.562 0.057 Ir
0.567 0.063 0.063 Ir
0.812 0.812 0.812 Ir
```

Properties
ΔE_f = -585 meV per atom

Entry 4:
The following is a PBE-GGA calculation of a geometry-optimized Pr2NpSb3Ir4 structure, from Alexandria via LeMat-Bulk.

Structure (POSCAR):
```
Pr2NpSb3Ir4
1.0
4.400 0.000 0.000
0.000 4.400 0.000
0.000 0.000 11.541
Pr Np Sb Ir
2 1 3 4
Direct
0.000 0.500 0.229 Pr
0.500 0.000 0.771 Pr
0.000 0.000 0.500 Np
0.000 0.500 0.868 Sb
0.500 0.000 0.132 Sb
0.500 0.500 0.500 Sb
0.000 0.000 0.000 Ir
0.000 0.500 0.642 Ir
0.500 0.000 0.358 Ir
0.500 0.500 0.000 Ir
```

Properties
Energy relative to the elements, uncorrected = -559 meV/atom

Entry 5:
The following is a PBE-GGA calculation of a geometry-optimized NpIrPt structure, from Alexandria via LeMat-Bulk.

Structure (POSCAR):
```
NpIrPt
1.0
4.679 0.000 0.000
-2.339 4.052 0.000
0.000 0.000 2.875
Np Ir Pt
1 1 1
Direct
0.000 0.000 0.000 Np
0.667 0.333 0.500 Ir
0.333 0.667 0.500 Pt
```

Properties
ΔE_f = -277 meV per atom
Excess energy over the best structure of this formula in the dataset = 0.733 eV per formula unit

Entry 6:
The following is a PBE-GGA calculation of a geometry-optimized NpIrPt2 structure, from Alexandria via LeMat-Bulk.

Structure (POSCAR):
```
NpIrPt2
1.0
0.000 3.293 3.293
3.293 0.000 3.293
3.293 3.293 0.000
Np Ir Pt
1 1 2
Direct
0.000 0.000 0.000 Np
0.500 0.500 0.500 Ir
0.250 0.250 0.250 Pt
0.750 0.750 0.750 Pt
```

Properties
ΔE_f = -200 meV per atom

Entry 7:
The following is a PBE-GGA calculation of a geometry-optimized NpIrPt structure, from Alexandria via LeMat-Bulk.

Structure (POSCAR):
```
NpIrPt
1.0
-2.660 2.714 3.816
2.660 -2.714 3.816
2.660 2.714 -3.816
Np Ir Pt
2 2 2
Direct
0.379 0.129 0.250 Np
0.621 0.871 0.750 Np
0.000 0.500 0.500 Ir
0.500 0.500 0.000 Ir
0.000 0.000 0.500 Pt
0.000 0.500 0.000 Pt
```

Properties
ΔE_f = -522 meV per atom
Excess energy over the best structure of this formula in the dataset = 0.000 eV per formula unit

Entry 8:
The following is a PBE-GGA calculation of a geometry-optimized NpIrPtRh structure, from Alexandria via LeMat-Bulk.

Structure (POSCAR):
```
NpIrPtRh
1.0
3.942 0.000 0.000
0.000 4.138 0.000
0.000 0.000 4.141
Np Ir Pt Rh
1 1 1 1
Direct
0.000 0.000 0.000 Np
0.500 0.000 0.500 Ir
0.000 0.500 0.500 Pt
0.500 0.500 0.000 Rh
```

Properties
ΔE_f = -462 meV per atom

Entry 9:
The following is a PBE-GGA calculation of a geometry-optimized Np2Si4IrPt3 structure, from Alexandria via LeMat-Bulk.

Structure (POSCAR):
```
Np2Si4IrPt3
1.0
4.137 0.000 0.000
0.000 4.137 0.000
0.000 0.000 10.078
Np Si Ir Pt
2 4 1 3
Direct
0.000 0.500 0.247 Np
0.500 0.000 0.753 Np
0.000 0.000 0.000 Si
0.000 0.500 0.636 Si
0.500 0.000 0.364 Si
0.500 0.500 0.000 Si
0.000 0.000 0.500 Ir
0.000 0.500 0.875 Pt
0.500 0.000 0.125 Pt
0.500 0.500 0.500 Pt
```

Properties
Energy relative to the elements, uncorrected = -747 meV/atom

Entry 10:
The following is a PBE-GGA calculation of a geometry-optimized NpSi2Ir2Pt structure, from Alexandria via LeMat-Bulk.

Structure (POSCAR):
```
NpSi2Ir2Pt
1.0
4.521 0.000 0.000
0.000 4.521 0.000
0.000 0.000 5.473
Np Si Ir Pt
1 2 2 1
Direct
0.000 0.000 0.000 Np
0.000 0.500 0.500 Si
0.500 0.000 0.500 Si
0.500 0.500 0.240 Ir
0.500 0.500 0.760 Ir
0.000 0.000 0.500 Pt
```

Properties
Energy relative to the elements, uncorrected = -2 meV/atom

Entry 11:
The following is a PBE-GGA calculation of a geometry-optimized NpSi3IrPt structure, from Alexandria via LeMat-Bulk.

Structure (POSCAR):
```
NpSi3IrPt
1.0
2.883 -7.288 0.000
2.883 7.288 0.000
0.000 0.000 5.652
Np Si Ir Pt
2 6 2 2
Direct
0.188 0.812 0.750 Np
0.812 0.188 0.250 Np
0.243 0.243 0.000 Si
0.243 0.243 0.500 Si
0.250 0.750 0.250 Si
0.750 0.250 0.750 Si
0.757 0.757 0.000 Si
0.757 0.757 0.500 Si
0.092 0.908 0.250 Ir
0.908 0.092 0.750 Ir
0.410 0.590 0.250 Pt
0.590 0.410 0.750 Pt
```

Properties
Energy relative to the elements, uncorrected = -351 meV/atom

Entry 12:
The following is a PBE-GGA calculation of a geometry-optimized NpUIrPt structure, from Alexandria via LeMat-Bulk.

Structure (POSCAR):
```
NpUIrPt
1.0
0.000 3.306 3.306
3.306 0.000 3.306
3.306 3.306 0.000
Np U Ir Pt
1 1 1 1
Direct
0.000 0.000 0.000 Np
0.750 0.750 0.750 U
0.500 0.500 0.500 Ir
0.250 0.250 0.250 Pt
```

Properties
ΔE_f = -614 meV per atom

Entry 13:
The following is a PBE-GGA calculation of a geometry-optimized YNpIrPt structure, from Alexandria via LeMat-Bulk.

Structure (POSCAR):
```
YNpIrPt
1.0
0.000 3.464 3.464
3.464 0.000 3.464
3.464 3.464 0.000
Y Np Ir Pt
1 1 1 1
Direct
0.000 0.000 0.000 Y
0.500 0.500 0.500 Np
0.750 0.750 0.750 Ir
0.250 0.250 0.250 Pt
```

Properties
ΔE_f = -612 meV per atom

Entry 14:
The following is a PBE-GGA calculation of a geometry-optimized NpZnIrPt structure, from Alexandria via LeMat-Bulk.

Structure (POSCAR):
```
NpZnIrPt
1.0
0.000 3.292 3.292
3.292 0.000 3.292
3.292 3.292 0.000
Np Zn Ir Pt
1 1 1 1
Direct
0.000 0.000 0.000 Np
0.500 0.500 0.500 Zn
0.250 0.250 0.250 Ir
0.750 0.750 0.750 Pt
```

Properties
ΔE_f = -330 meV per atom

Entry 15:
The following is a PBE-GGA calculation of a geometry-optimized PuNpIr structure, from Alexandria via LeMat-Bulk.

Structure (POSCAR):
```
PuNpIr
1.0
2.381 -2.402 0.000
2.381 2.402 0.000
-1.119 0.000 9.885
Pu Np Ir
2 2 2
Direct
0.194 0.806 0.500 Pu
0.806 0.194 0.000 Pu
0.133 0.732 0.148 Np
0.732 0.133 0.648 Np
0.275 0.652 0.820 Ir
0.652 0.275 0.320 Ir
```

Properties
ΔE_f = -220 meV per atom
Excess energy over the best structure of this formula in the dataset = 0.000 eV per formula unit

Entry 16:
The following is a PBE-GGA calculation of a geometry-optimized PuNpIr4 structure, from Alexandria via LeMat-Bulk.

Structure (POSCAR):
```
PuNpIr4
1.0
0.000 3.783 3.783
3.783 0.000 3.783
3.783 3.783 0.000
Pu Np Ir
1 1 4
Direct
0.000 0.000 0.000 Pu
0.250 0.250 0.250 Np
0.125 0.625 0.625 Ir
0.625 0.125 0.625 Ir
0.625 0.625 0.125 Ir
0.625 0.625 0.625 Ir
```

Properties
ΔE_f = -512 meV per atom

Entry 17:
The following is a PBE-GGA calculation of a geometry-optimized Pu2NpIr structure, from Alexandria via LeMat-Bulk.

Structure (POSCAR):
```
Pu2NpIr
1.0
4.519 0.000 0.000
0.000 4.580 0.000
0.661 0.008 7.397
Pu Np Ir
4 2 2
Direct
0.225 0.250 0.005 Pu
0.248 0.250 0.499 Pu
0.752 0.750 0.501 Pu
0.775 0.750 0.995 Pu
0.219 0.750 0.672 Np
0.781 0.250 0.328 Np
0.283 0.750 0.242 Ir
0.717 0.250 0.758 Ir
```

Properties
ΔE_f = -142 meV per atom
Excess energy over the best structure of this formula in the dataset = 0.000 eV per formula unit

Entry 18:
The following is a PBE-GGA calculation of a geometry-optimized Pu2NpIr structure, from Alexandria via LeMat-Bulk.

Structure (POSCAR):
```
Pu2NpIr
1.0
5.042 0.000 0.000
0.000 5.042 0.000
0.000 0.000 3.067
Pu Np Ir
2 1 1
Direct
0.000 0.500 0.000 Pu
0.500 0.000 0.000 Pu
0.000 0.000 0.500 Np
0.500 0.500 0.500 Ir
```

Properties
ΔE_f = -46 meV per atom
Excess energy over the best structure of this formula in the dataset = 0.385 eV per formula unit

Entry 19:
The following is a PBE-GGA calculation of a geometry-optimized Pu5NpIr5 structure, from Alexandria via LeMat-Bulk.

Structure (POSCAR):
```
Pu5NpIr5
1.0
6.141 -2.783 0.000
6.141 2.783 0.000
-2.722 0.000 7.698
Pu Np Ir
5 1 5
Direct
0.000 0.000 0.000 Pu
0.333 0.333 0.170 Pu
0.334 0.334 0.664 Pu
0.666 0.666 0.336 Pu
0.667 0.667 0.830 Pu
0.000 0.000 0.500 Np
0.157 0.157 0.329 Ir
0.168 0.168 0.834 Ir
0.500 0.500 0.500 Ir
0.832 0.832 0.166 Ir
0.843 0.843 0.671 Ir
```

Properties
ΔE_f = -233 meV per atom

Entry 20:
The following is a PBE-GGA calculation of a geometry-optimized PuNpIr structure, from Alexandria via LeMat-Bulk.

Structure (POSCAR):
```
PuNpIr
1.0
4.927 -2.132 0.000
4.927 2.132 0.000
-0.751 0.000 5.203
Pu Np Ir
2 2 2
Direct
0.056 0.056 0.209 Pu
0.944 0.944 0.791 Pu
0.432 0.432 0.288 Np
0.568 0.568 0.712 Np
0.250 0.250 0.712 Ir
0.750 0.750 0.288 Ir
```

Properties
ΔE_f = -177 meV per atom
Excess energy over the best structure of this formula in the dataset = 0.129 eV per formula unit

Entry 21:
The following is a PBE-GGA calculation of a geometry-optimized Pu2NpIr9 structure, from Alexandria via LeMat-Bulk.

Structure (POSCAR):
```
Pu2NpIr9
1.0
2.646 1.527 8.774
-2.646 1.527 8.774
0.000 -3.055 8.774
Pu Np Ir
2 1 9
Direct
0.140 0.140 0.140 Pu
0.860 0.860 0.860 Pu
0.000 0.000 0.000 Np
0.081 0.584 0.584 Ir
0.333 0.333 0.333 Ir
0.416 0.416 0.919 Ir
0.416 0.919 0.416 Ir
0.500 0.500 0.500 Ir
0.584 0.081 0.584 Ir
0.584 0.584 0.081 Ir
0.667 0.667 0.667 Ir
0.919 0.416 0.416 Ir
```

Properties
ΔE_f = -378 meV per atom

Entry 22:
The following is a PBE-GGA calculation of a geometry-optimized PuNpIr structure, from Alexandria via LeMat-Bulk.

Structure (POSCAR):
```
PuNpIr
1.0
4.722 0.000 0.000
-2.361 4.089 0.000
0.000 0.000 2.861
Pu Np Ir
1 1 1
Direct
0.000 0.000 0.000 Pu
0.333 0.667 0.775 Np
0.667 0.333 0.396 Ir
```

Properties
ΔE_f = -213 meV per atom
Excess energy over the best structure of this formula in the dataset = 0.023 eV per formula unit

Entry 23:
The following is a PBE-GGA calculation of a geometry-optimized PuNpIr structure, from Alexandria via LeMat-Bulk.

Structure (POSCAR):
```
PuNpIr
1.0
-1.665 1.665 4.917
1.665 -1.665 4.917
1.665 1.665 -4.917
Pu Np Ir
1 1 1
Direct
0.000 0.000 0.000 Pu
0.367 0.367 0.000 Np
0.688 0.688 0.000 Ir
```

Properties
ΔE_f = -105 meV per atom
Excess energy over the best structure of this formula in the dataset = 0.347 eV per formula unit

Entry 24:
The following is a PBE-GGA calculation of a geometry-optimized Pu2NpIr structure, from Alexandria via LeMat-Bulk.

Structure (POSCAR):
```
Pu2NpIr
1.0
0.000 3.368 3.368
3.368 0.000 3.368
3.368 3.368 0.000
Pu Np Ir
2 1 1
Direct
0.250 0.250 0.250 Pu
0.750 0.750 0.750 Pu
0.000 0.000 0.000 Np
0.500 0.500 0.500 Ir
```

Properties
ΔE_f = -50 meV per atom
Excess energy over the best structure of this formula in the dataset = 0.368 eV per formula unit

Entry 25:
The following is a PBE-GGA calculation of a geometry-optimized PuNp2Ir9 structure, from Alexandria via LeMat-Bulk.

Structure (POSCAR):
```
PuNp2Ir9
1.0
2.642 1.526 8.772
-2.642 1.526 8.772
0.000 -3.051 8.772
Pu Np Ir
1 2 9
Direct
0.000 0.000 0.000 Pu
0.140 0.140 0.140 Np
0.860 0.860 0.860 Np
0.081 0.585 0.585 Ir
0.333 0.333 0.333 Ir
0.415 0.415 0.919 Ir
0.415 0.919 0.415 Ir
0.500 0.500 0.500 Ir
0.585 0.081 0.585 Ir
0.585 0.585 0.081 Ir
0.667 0.667 0.667 Ir
0.919 0.415 0.415 Ir
```

Properties
ΔE_f = -357 meV per atom

Entry 26:
The following is a PBE-GGA calculation of a geometry-optimized PuNpTaIr structure, from Alexandria via LeMat-Bulk.

Structure (POSCAR):
```
PuNpTaIr
1.0
0.000 3.351 3.351
3.351 0.000 3.351
3.351 3.351 0.000
Pu Np Ta Ir
1 1 1 1
Direct
0.000 0.000 0.000 Pu
0.750 0.750 0.750 Np
0.500 0.500 0.500 Ta
0.250 0.250 0.250 Ir
```

Properties
ΔE_f = 30 meV per atom